(1)
# Pm4Nd7Hg PBE relaxed
# energy of formation from the pure elements: -0.043 eV per atom
data_Pm4Nd7Hg
_cell_length_a 3.6870
_cell_length_b 3.6870
_cell_length_c 34.8749
_cell_angle_alpha 90.00
_cell_angle_beta 90.00
_cell_angle_gamma 120.00
_space_group_name_H-M_alt 'P -3 m 1'
_space_group_IT_number 164
_space_group_name_Hall '-P 3 2"'
loop_
_atom_site_label
_atom_site_type_symbol
_atom_site_fract_x
_atom_site_fract_y
_atom_site_fract_z
Pm1 Pm 0.3333 0.6667 0.1568
Pm2 Pm 0.3333 0.6667 0.4143
Nd1 Nd 0.0000 0.0000 0.2428
Nd2 Nd 0.0000 0.0000 0.5000
Nd3 Nd 0.3333 0.6667 0.6713
Nd4 Nd 0.3333 0.6667 0.9279
Hg1 Hg 0.0000 0.0000 0.0000

(2)
# B5C7 PBE relaxed
# energy of formation from the pure elements: 0.383 eV per atom
# energy above the most stable polymorph in this dataset: 125 meV/atom
data_B5C7
_cell_length_a 4.722
_cell_length_b 2.503
_cell_length_c 6.844
_cell_angle_alpha 90.00
_cell_angle_beta 96.04
_cell_angle_gamma 90.00
_space_group_name_H-M_alt 'P 1 m 1'
_space_group_IT_number 6
_space_group_name_Hall 'P -2y'
loop_
_atom_site_label
_atom_site_type_symbol
_atom_site_fract_x
_atom_site_fract_y
_atom_site_fract_z
B1 B 0.000 0.000 0.000
B2 B 0.005 0.000 0.268
B3 B 0.237 0.500 0.920
B4 B 0.703 0.000 0.657
B5 B 0.812 0.500 0.391
C1 C 0.214 0.500 0.678
C2 C 0.341 0.000 0.361
C3 C 0.359 0.000 0.598
C4 C 0.485 0.500 0.291
C5 C 0.531 0.500 0.066
C6 C 0.695 0.000 0.033
C7 C 0.888 0.500 0.619

(3)
# Mg4In7Pb PBE relaxed
# energy of formation from the pure elements: 0.067 eV per atom
# energy above the most stable polymorph in this dataset: 97 meV/atom
data_Mg4In7Pb
_cell_length_a 12.474
_cell_length_b 5.713
_cell_length_c 10.887
_cell_angle_alpha 90.00
_cell_angle_beta 122.89
_cell_angle_gamma 90.00
_space_group_name_H-M_alt 'C 1 2/m 1'
_space_group_IT_number 12
_space_group_name_Hall '-C 2y'
loop_
_atom_site_label
_atom_site_type_symbol
_atom_site_fract_x
_atom_site_fract_y
_atom_site_fract_z
Mg1 Mg 0.078 0.000 0.271
Mg2 Mg 0.222 0.000 0.818
In1 In 0.000 0.000 0.500
In2 In 0.070 0.500 0.857
In3 In 0.144 0.000 0.045
In4 In 0.212 0.500 0.412
Pb1 Pb 0.000 0.500 0.500

(4)
# ErSCl PBE relaxed
# ΔE_f (raw): -1783 meV/atom
# energy above the most stable polymorph in this dataset: 406 meV/atom
data_ErSCl
_cell_length_a 3.424
_cell_length_b 3.424
_cell_length_c 13.500
_cell_angle_alpha 90.00
_cell_angle_beta 90.00
_cell_angle_gamma 90.00
_space_group_name_H-M_alt 'I 4 m m'
_space_group_IT_number 107
_space_group_name_Hall 'I 4 -2'
loop_
_atom_site_label
_atom_site_type_symbol
_atom_site_fract_x
_atom_site_fract_y
_atom_site_fract_z
Er1 Er 0.000 0.000 0.000
S1 S 0.000 0.000 0.406
Cl1 Cl 0.000 0.000 0.635

(5)
# CaMnBe2 PBE relaxed
# energy of formation from the pure elements: 0.507 eV per atom
# energy above the most stable polymorph in this dataset: 334 meV/atom
data_CaMnBe2
_cell_length_a 2.889
_cell_length_b 4.712
_cell_length_c 8.912
_cell_angle_alpha 90.00
_cell_angle_beta 90.00
_cell_angle_gamma 90.00
_space_group_name_H-M_alt 'I m m 2'
_space_group_IT_number 44
_space_group_name_Hall 'I 2 -2'
loop_
_atom_site_label
_atom_site_type_symbol
_atom_site_fract_x
_atom_site_fract_y
_atom_site_fract_z
Ca1 Ca 0.000 0.000 0.000
Mn1 Mn 0.000 0.500 0.197
Be1 Be 0.000 0.000 0.473
Be2 Be 0.000 0.500 0.789

(6)
# BaFe2Co PBE relaxed
# energy of formation from the pure elements: 1.057 eV per atom
# energy above the most stable polymorph in this dataset: 730 meV/atom
data_BaFe2Co
_cell_length_a 3.914
_cell_length_b 3.914
_cell_length_c 9.430
_cell_angle_alpha 90.00
_cell_angle_beta 90.00
_cell_angle_gamma 90.00
_space_group_name_H-M_alt 'I 4/m m m'
_space_group_IT_number 139
_space_group_name_Hall '-I 4 2'
loop_
_atom_site_label
_atom_site_type_symbol
_atom_site_fract_x
_atom_site_fract_y
_atom_site_fract_z
Ba1 Ba 0.000 0.000 0.000
Fe1 Fe 0.000 0.500 0.250
Co1 Co 0.000 0.000 0.500

(7)
# LaTbYHg PBE relaxed
# energy of formation from the pure elements: -0.233 eV per atom
# energy above the most stable polymorph in this dataset: 0 meV/atom
data_LaTbYHg
_cell_length_a 3.693
_cell_length_b 3.693
_cell_length_c 8.867
_cell_angle_alpha 90.00
_cell_angle_beta 90.00
_cell_angle_gamma 90.00
_space_group_name_H-M_alt 'P 4 m m'
_space_group_IT_number 99
_space_group_name_Hall 'P 4 -2'
loop_
_atom_site_label
_atom_site_type_symbol
_atom_site_fract_x
_atom_site_fract_y
_atom_site_fract_z
La1 La 0.000 0.000 0.000
Tb1 Tb 0.500 0.500 0.284
Y1 Y 0.500 0.500 0.712
Hg1 Hg 0.000 0.000 0.499

(8)
# CaBr PBE relaxed
# ΔE_f (raw): -1297 meV/atom
data_CaBr
_cell_length_a 8.799
_cell_length_b 10.958
_cell_length_c 12.208
_cell_angle_alpha 90.00
_cell_angle_beta 90.00
_cell_angle_gamma 90.00
_space_group_name_H-M_alt 'F d d d'
_space_group_IT_number 70
loop_
_space_group_symop_operation_xyz
'x,y,z'
'-x,-y,-z'
'-x+1/4,-y+1/4,z'
'x+1/4,y+1/4,-z'
'x,-y+1/4,-z+1/4'
'-x,y+1/4,z+1/4'
'-x+1/4,y,-z+1/4'
'x+1/4,-y,z+1/4'
'x,y+1/2,z+1/2'
'-x,-y+1/2,-z+1/2'
'-x+1/4,-y+3/4,z+1/2'
'x+1/4,y+3/4,-z+1/2'
'x,-y+3/4,-z+3/4'
'-x,y+3/4,z+3/4'
'-x+1/4,y+1/2,-z+3/4'
'x+1/4,-y+1/2,z+3/4'
'x+1/2,y,z+1/2'
'-x+1/2,-y,-z+1/2'
'-x+3/4,-y+1/4,z+1/2'
'x+3/4,y+1/4,-z+1/2'
'x+1/2,-y+1/4,-z+3/4'
'-x+1/2,y+1/4,z+3/4'
'-x+3/4,y,-z+3/4'
'x+3/4,-y,z+3/4'
'x+1/2,y+1/2,z'
'-x+1/2,-y+1/2,-z'
'-x+3/4,-y+3/4,z'
'x+3/4,y+3/4,-z'
'x+1/2,-y+3/4,-z+1/4'
'-x+1/2,y+3/4,z+1/4'
'-x+3/4,y+1/2,-z+1/4'
'x+3/4,-y+1/2,z+1/4'
loop_
_atom_site_label
_atom_site_type_symbol
_atom_site_fract_x
_atom_site_fract_y
_atom_site_fract_z
Ca1 Ca 0.100 0.375 0.375
Br1 Br 0.125 0.125 0.471